# NaHfHg3S4

A relaxed structure of NaHfHg3S4 (PBE, OQMD).

Values from the calculation:
E_tot = -3.843 eV/atom

Cell: 7.2647 7.8018 10.5698 Å, 90.00 106.11 90.00°
Space group P2_1/m (No. 11)
Unique sites:
Na  0.2046  0.2500  0.0122 x2
Hf  0.2724  0.7500  0.2338 x2
Hg  0.0994  0.0208  0.4052 x4
Hg  0.2706  0.2500  0.6156 x2
S  0.0698  0.5031  0.1646 x4
S  0.3769  0.7500  0.4691 x2
S  0.4564  0.2500  0.8529 x2